Below is a PBEsol-optimized structure of AlGeCl2, with properties calculated at the SCAN level.

Cell: 4.8328 4.8328 4.8328 Å, 60.00 60.00 60.00°
Positions (direct):
1 Al 0.0000 0.0000 0.0000
2 Ge 0.5000 0.5000 0.5000
3 Cl 0.2500 0.2500 0.2500
4 Cl 0.7500 0.7500 0.7500

Values from the calculation:
SG = Fm-3m, No. 225
E_form (uncorrected) = 61.1 meV per atom